No. 1
Material: NaSmMg
Method: DFT, PBE-GGA
State: optimized geometry

POSCAR file:
```
NaSmMg
1.0
3.311 0.000 0.000
0.000 5.549 0.000
0.000 -2.775 4.806
Na Mg Sm
1 1 1
direct
0.832 0.000 0.000 Na
0.834 0.667 0.333 Mg
0.334 0.333 0.667 Sm
```

Properties
Space group   P3m1 (156)
ΔE to the lowest computed polymorph   41 meV/atom
E_form   0.128 eV per atom

No. 2
Material: PaGa3I8
Method: DFT, PBE-GGA
State: optimized geometry

POSCAR file:
```
PaGa3I8
1.0
-0.626 5.534 5.928
3.625 -6.877 2.393
8.360 3.558 -2.438
Pa Ga I
1 3 8
direct
0.500 0.500 0.500 Pa
0.000 0.500 0.213 Ga
0.500 0.500 0.000 Ga
0.500 0.000 0.787 Ga
0.716 0.284 0.500 I
0.739 0.261 0.000 I
0.726 0.738 0.727 I
0.738 0.726 0.273 I
0.262 0.274 0.273 I
0.274 0.262 0.727 I
0.261 0.739 0.000 I
0.284 0.716 0.500 I
```

Properties
Space group   C222 (21)
Raw formation energy   -0.6328 eV per atom

No. 3
Material: Tb6TmCd
Method: DFT, PBE-GGA
State: optimized geometry

POSCAR file:
```
Tb6TmCd
1.0
-8.414 0.999 3.681
-3.134 -5.374 5.894
-2.460 0.888 5.731
Tb Tm Cd
6 1 1
direct
0.040 0.450 0.752 Tb
0.758 0.960 0.732 Tb
0.550 0.242 0.168 Tb
0.242 0.040 0.268 Tb
0.960 0.550 0.248 Tb
0.450 0.758 0.832 Tb
0.500 0.500 0.500 Tm
0.000 0.000 0.000 Cd
```

Properties
Space group   R-3 (148)
ΔE to the lowest computed polymorph   81 meV/atom
E_form   0.048 eV per atom

no.,Fermi-level density of states (states/eV/atom)
1,0.765
2,0.073
3,1.502